(1)
La6CoHg3 PBE relaxed; DFT formation energy = -0.299 eV per atom; space group = No. 11; Fermi-level density of states = 0.91 states/eV/atom; total magnetic moment = 0.000 μB per atom
1.0
8.998 0.000 0.000
0.000 5.666 0.000
-3.156 0.000 11.465
La Co Hg
12 2 6
direct
0.001 0.250 0.090 La
0.193 0.250 0.650 La
0.289 0.750 0.478 La
0.365 0.250 0.360 La
0.380 0.750 0.846 La
0.392 0.750 0.144 La
0.608 0.250 0.856 La
0.620 0.250 0.154 La
0.635 0.750 0.640 La
0.711 0.250 0.522 La
0.807 0.750 0.350 La
0.999 0.750 0.910 La
0.463 0.250 0.619 Co
0.537 0.750 0.381 Co
0.005 0.750 0.636 Hg
0.074 0.750 0.213 Hg
0.281 0.250 0.958 Hg
0.719 0.750 0.042 Hg
0.926 0.250 0.787 Hg
0.995 0.250 0.364 Hg

=====

(2)
Sr2YCl PBE relaxed; space group = No. 216; energy above the lowest structure with this stoichiometry = 3.078 eV/f.u.; Fermi-level density of states = 0.98 states/eV/atom; formation energy without anion corrections = 0.02 eV per atom; total magnetic moment = 0.000 μB per atom
1.0
8.673 0.000 0.000
0.000 8.673 0.000
0.000 0.000 8.673
Sr Y Cl
8 4 4
direct
0.000 0.000 0.000 Sr
0.000 0.500 0.500 Sr
0.250 0.250 0.250 Sr
0.250 0.750 0.750 Sr
0.500 0.000 0.500 Sr
0.500 0.500 0.000 Sr
0.750 0.250 0.750 Sr
0.750 0.750 0.250 Sr
0.250 0.250 0.750 Y
0.250 0.750 0.250 Y
0.750 0.250 0.250 Y
0.750 0.750 0.750 Y
0.000 0.000 0.500 Cl
0.000 0.500 0.000 Cl
0.500 0.000 0.000 Cl
0.500 0.500 0.500 Cl

=====

(3)
MnFeCl2 PBE relaxed; space group = No. 10; energy above the lowest structure with this stoichiometry = 1.788 eV/f.u.; Fermi-level density of states = 0.35 states/eV/atom; formation energy without anion corrections = 0.09 eV per atom; total magnetic moment = 1.773 μB per atom
1.0
3.352 0.000 0.000
0.000 3.920 0.000
-0.450 0.000 5.397
Mn Fe Cl
1 1 2
direct
0.000 0.000 0.000 Mn
0.500 0.000 0.500 Fe
0.272 0.500 0.256 Cl
0.728 0.500 0.744 Cl

=====

> Fermi-level density of states of number 3 (MnFeCl2)?

0.35 states/eV/atom